(1)
VASP calculation (GGA-PBE) on an optimized crystal structure of HfTlCoPd.

Properties
Total magnetic moment   1.28 μB/f.u.
Calculated total energy   -24.3 eV per cell

```
data_HfTlCoPd
_chemical_formula_sum 'Hf1 Tl1 Co1 Pd1'
_cell_length_a 4.616
_cell_length_b 4.616
_cell_length_c 4.616
_cell_angle_alpha 60.00
_cell_angle_beta 60.00
_cell_angle_gamma 60.00
_symmetry_space_group_name_H-M 'P 1'
_symmetry_Int_Tables_number 1
_symmetry_space_group_name_Hall 'P 1'
loop_
_atom_site_label
_atom_site_fract_x
_atom_site_fract_y
_atom_site_fract_z
Hf1 0.000 0.000 0.000
Tl1 0.250 0.250 0.250
Co1 0.500 0.500 0.500
Pd1 0.750 0.750 0.750
```

(2)
VASP calculation (GGA-PBE) on an optimized crystal structure of LaPrNi2As2.

Properties
Total magnetic moment   0.00 μB/f.u.
Calculated total energy   -36.5 eV per cell

```
data_LaPrNi2As2
_chemical_formula_sum 'La1 Pr1 Ni2 As2'
_cell_length_a 4.158
_cell_length_b 4.158
_cell_length_c 8.149
_cell_angle_alpha 90.00
_cell_angle_beta 90.00
_cell_angle_gamma 120.00
_symmetry_space_group_name_H-M 'P 1'
_symmetry_Int_Tables_number 1
_symmetry_space_group_name_Hall 'P 1'
loop_
_atom_site_label
_atom_site_fract_x
_atom_site_fract_y
_atom_site_fract_z
La1 0.000 0.000 0.000
Pr1 0.000 0.000 0.500
Ni1 0.333 0.667 0.251
Ni2 0.667 0.333 0.749
As1 0.333 0.667 0.747
As2 0.667 0.333 0.253
```

Calculated values (Å³ per atom) of V for the records, taken in order: 17.39 20.34.